Record 1
Below is a relaxed structure of RbCdGa4, with properties calculated at the GGA-PBE level.

Output
For the volume, the calculation gives 24.0 Å³ per atom. Its total energy is -54.167 eV per cell. As for the formation enthalpy at 0 K: 0.07 eV/atom. For the density of states at the Fermi level, the calculation gives 0.35 states/eV/atom.

a = 8.3183 Å, b = 8.3183 Å, c = 8.3183 Å
α = 90.00°, β = 90.00°, γ = 90.00°
Space group F-43m (No. 216)
Inequivalent atoms, fractional coordinates:
Rb1 0.0000 0.0000 0.0000 [4 per cell]
Cd1 0.2500 0.2500 0.2500 [4 per cell]
Ga1 0.1245 0.1245 0.6245 [16 per cell]

Record 2
Below is a relaxed structure of Mg2TlPb9, with properties calculated at the GGA-PBE level.

Output
The excess energy over the best structure of this formula in the dataset is 15 meV/atom. For the volume, the calculation gives 30.4 Å³ per atom. Its total energy is -38.772 eV per cell. As for the formation enthalpy at 0 K: 0.01 eV/atom. For the density of states at the Fermi level, the calculation gives 0.50 states/eV/atom.

a = 10.9781 Å, b = 10.9781 Å, c = 3.4948 Å
α = 90.00°, β = 90.00°, γ = 120.00°
Space group P6/mmm (No. 191)
Inequivalent atoms, fractional coordinates:
Mg1 0.3333 0.6667 0.0000 [2 per cell]
Tl1 0.0000 0.0000 0.0000 [1 per cell]
Pb1 0.0000 0.5000 0.0000 [3 per cell]
Pb2 0.1808 0.3616 0.5000 [6 per cell]

Record 3
Below is a relaxed structure of LiCePu2N4, with properties calculated at the GGA-PBE level.

Output
For the volume, the calculation gives 13.6 Å³ per atom. Its total energy is -316.752 eV per cell. The uncorrected formation energy comes out at -113.1 kJ/mol of atoms. For the density of states at the Fermi level, the calculation gives 1.54 states/eV/atom.

a = 3.4610 Å, b = 11.2328 Å, c = 11.2144 Å
α = 90.00°, β = 90.00°, γ = 90.00°
Space group Cmcm (No. 63)
Inequivalent atoms, fractional coordinates:
Li1 0.0000 0.1596 0.2500 [4 per cell]
Ce1 0.0000 0.1067 0.7500 [4 per cell]
Pu1 0.0000 0.3697 0.5578 [8 per cell]
N1 0.0000 0.0000 0.0000 [4 per cell]
N2 0.0000 0.2674 0.1134 [8 per cell]
N3 0.0000 0.4513 0.7500 [4 per cell]

Record 4
Below is a relaxed structure of GaNi5Sn, with properties calculated at the GGA-PBE level.

Output
For the volume, the calculation gives 13.3 Å³ per atom. Its total energy is -36.796 eV per cell. As for the formation enthalpy at 0 K: -0.12 eV/atom. For the density of states at the Fermi level, the calculation gives 1.01 states/eV/atom.

a = 3.7953 Å, b = 3.7953 Å, c = 6.4758 Å
α = 90.00°, β = 90.00°, γ = 90.00°
Space group P4/mmm (No. 123)
Inequivalent atoms, fractional coordinates:
Ga1 0.0000 0.0000 0.0000 [1 per cell]
Ni1 0.0000 0.0000 0.5000 [1 per cell]
Ni2 0.0000 0.5000 0.2225 [4 per cell]
Sn1 0.5000 0.5000 0.5000 [1 per cell]